The following is a meta-GGA SCAN calculation of NaBeSCl2 at its PBEsol-relaxed geometry, from the Alexandria database.

The space group is P4/mmm (No. 123) and the conventional cell measures 4.7940, 4.7940 and 5.0984 Å, with angles of 90.00, 90.00 and 90.00 degrees. The inequivalent atoms are Na at (0.0000, 0.0000, 0.0000), Be at (0.5000, 0.5000, 0.5000), S at (0.0000, 0.0000, 0.5000) and Cl at (0.0000, 0.5000, 0.0000).

Its density of states at the Fermi level is 1.98 states/eV per cell. The calculation puts the formation energy from raw total energies at 0.350 eV per atom. The total energy is -0.47634 Ry/atom.

The following is a meta-GGA SCAN calculation of BeNbCl3 at its PBEsol-relaxed geometry, from the Alexandria database.

The space group is Pm-3m (No. 221) and the conventional cell measures 4.4397, 4.4397 and 4.4397 Å, with angles of 90.00, 90.00 and 90.00 degrees. The inequivalent atoms are Be at (0.0000, 0.0000, 0.0000), Nb at (0.5000, 0.5000, 0.5000) and Cl at (0.0000, 0.0000, 0.5000).

Its density of states at the Fermi level is 2.82 states/eV per cell. The calculation puts the formation energy from raw total energies at -0.177 eV per atom. The total energy is -0.91579 Ry/atom.

The following is a meta-GGA SCAN calculation of BeNbCl2 at its PBEsol-relaxed geometry, from the Alexandria database.

The space group is R-3m (No. 166, hexagonal axes) and the conventional cell measures 3.0481, 3.0481 and 22.9505 Å, with angles of 90.00, 90.00 and 120.00 degrees. The inequivalent atoms are Be at (0.0000, 0.0000, 0.0000), Nb at (0.0000, 0.0000, 0.5000) and Cl at (0.0000, 0.0000, 0.3897).

Its density of states at the Fermi level is 5.39 states/eV per cell. The calculation puts the formation energy from raw total energies at -0.277 eV per atom. The total energy is -1.00226 Ry/atom.

The following is a meta-GGA SCAN calculation of BeNiCl4 at its PBEsol-relaxed geometry, from the Alexandria database.

The space group is F-43m (No. 216) and the conventional cell measures 7.8381, 7.8381 and 7.8381 Å, with angles of 90.00, 90.00 and 90.00 degrees. The inequivalent atoms are Be at (0.0000, 0.0000, 0.0000), Ni at (0.2500, 0.2500, 0.2500) and Cl at (0.1252, 0.1252, 0.6252).

Its density of states at the Fermi level is 26.00 states/eV per cell. The calculation puts the formation energy from raw total energies at 1.222 eV per atom. The total energy is -0.55253 Ry/atom.